No. 1
# Rb2BaIrO4 | the Alexandria database | PBE | optimized geometry
data_Rb2BaIrO4
_chemical_formula_sum 'Rb4 Ba2 Ir2 O8'
_space_group_name_H-M_alt 'I -4'
_space_group_IT_number 82
_space_group_name_Hall 'I -4'
_cell_length_a 6.5613
_cell_length_b 6.5613
_cell_length_c 7.3311
_cell_angle_alpha 90.00
_cell_angle_beta 90.00
_cell_angle_gamma 90.00
loop_
_atom_site_label
_atom_site_type_symbol
_atom_site_fract_x
_atom_site_fract_y
_atom_site_fract_z
_atom_site_occupancy
Rb1 Rb 0.0000 0.0000 0.0000 1
Rb2 Rb 0.0000 0.5000 0.2500 1
Ba1 Ba 0.0000 0.5000 0.7500 1
Ir1 Ir 0.0000 0.0000 0.5000 1
O1 O 0.2070 0.2089 0.5007 1
# - M_tot (μB per cell) = 6.04
# - E_tot (eV per atom) = -5.5480


No. 2
# CaHg4Au2 | the Alexandria database | PBE | optimized geometry
data_CaHg4Au2
_chemical_formula_sum 'Ca2 Hg8 Au4'
_space_group_name_H-M_alt 'P 42/m n m'
_space_group_IT_number 136
_space_group_name_Hall '-P 4n 2n'
_cell_length_a 9.3021
_cell_length_b 9.3021
_cell_length_c 3.9787
_cell_angle_alpha 90.00
_cell_angle_beta 90.00
_cell_angle_gamma 90.00
loop_
_atom_site_label
_atom_site_type_symbol
_atom_site_fract_x
_atom_site_fract_y
_atom_site_fract_z
_atom_site_occupancy
Ca1 Ca 0.0000 0.0000 0.0000 1
Hg1 Hg 0.0870 0.3240 0.5000 1
Au1 Au 0.1767 0.8233 0.5000 1
# - M_tot (μB per cell) = 0.00
# - E_tot (eV per atom) = -1.6183
# - E above lowest polymorph (eV/atom) = 0.014
# - formation energy (eV/atom) = -0.224


No. 3
# Zn5Re | the Alexandria database | PBE | optimized geometry
data_Zn5Re
_chemical_formula_sum 'Zn10 Re2'
_space_group_name_H-M_alt 'C 1 m 1'
_space_group_IT_number 8
_space_group_name_Hall 'C -2y'
_cell_length_a 10.1315
_cell_length_b 2.6882
_cell_length_c 6.6522
_cell_angle_alpha 90.00
_cell_angle_beta 105.20
_cell_angle_gamma 90.00
loop_
_atom_site_label
_atom_site_type_symbol
_atom_site_fract_x
_atom_site_fract_y
_atom_site_fract_z
_atom_site_occupancy
Zn1 Zn 0.0000 0.0000 0.0000 1
Zn2 Zn 0.0570 0.0000 0.6156 1
Zn3 Zn 0.1667 0.5000 0.3295 1
Zn4 Zn 0.2307 0.5000 0.9428 1
Zn5 Zn 0.3875 0.0000 0.2815 1
Re1 Re 0.3310 0.0000 0.6575 1
# - M_tot (μB per cell) = 0.00
# - E_tot (eV per atom) = -3.0464
# - E above lowest polymorph (eV/atom) = 0.000
# - formation energy (eV/atom) = 0.090


No. 4
# Ac7TbPr12 | the Alexandria database | PBE | optimized geometry
data_Ac7TbPr12
_chemical_formula_sum 'Ac14 Tb2 Pr24'
_space_group_name_H-M_alt 'I m -3'
_space_group_IT_number 204
_space_group_name_Hall '-I 2 2 3'
_cell_length_a 12.2368
_cell_length_b 12.2368
_cell_length_c 12.2368
_cell_angle_alpha 90.00
_cell_angle_beta 90.00
_cell_angle_gamma 90.00
loop_
_atom_site_label
_atom_site_type_symbol
_atom_site_fract_x
_atom_site_fract_y
_atom_site_fract_z
_atom_site_occupancy
Ac1 Ac 0.0000 0.0000 0.5000 1
Ac2 Ac 0.2500 0.2500 0.2500 1
Tb1 Tb 0.0000 0.0000 0.0000 1
Pr1 Pr 0.0000 0.2407 0.3241 1
# - M_tot (μB per cell) = 0.00
# - E_tot (eV per atom) = -3.7562
# - formation energy (eV/atom) = 0.781


No. 5
# MnTl2Te | the Alexandria database | PBE | optimized geometry
data_MnTl2Te
_chemical_formula_sum 'Mn2 Tl4 Te2'
_space_group_name_H-M_alt 'C m m m'
_space_group_IT_number 65
_space_group_name_Hall '-C 2 2'
_cell_length_a 6.6173
_cell_length_b 10.2933
_cell_length_c 3.2196
_cell_angle_alpha 90.00
_cell_angle_beta 90.00
_cell_angle_gamma 90.00
loop_
_atom_site_label
_atom_site_type_symbol
_atom_site_fract_x
_atom_site_fract_y
_atom_site_fract_z
_atom_site_occupancy
Mn1 Mn 0.0000 0.0000 0.0000 1
Tl1 Tl 0.2500 0.2500 0.5000 1
Te1 Te 0.0000 0.5000 0.0000 1
# - M_tot (μB per cell) = 8.82
# - E_tot (eV per atom) = -3.9385
# - E above lowest polymorph (eV/atom) = 0.244


No. 6
# Tc3NiAg | the Alexandria database | PBE | optimized geometry
data_Tc3NiAg
_chemical_formula_sum 'Tc3 Ni1 Ag1'
_space_group_name_H-M_alt 'P m -3 m'
_space_group_IT_number 221
_space_group_name_Hall '-P 4 2 3'
_cell_length_a 4.7131
_cell_length_b 4.7131
_cell_length_c 4.7131
_cell_angle_alpha 90.00
_cell_angle_beta 90.00
_cell_angle_gamma 90.00
loop_
_atom_site_label
_atom_site_type_symbol
_atom_site_fract_x
_atom_site_fract_y
_atom_site_fract_z
_atom_site_occupancy
Tc1 Tc 0.0000 0.0000 0.5000 1
Ni1 Ni 0.5000 0.5000 0.5000 1
Ag1 Ag 0.0000 0.0000 0.0000 1
# - M_tot (μB per cell) = 0.02
# - E_tot (eV per atom) = -5.0996
# - E above lowest polymorph (eV/atom) = 1.328
# - formation energy (eV/atom) = 2.847